[1]
DFT (GGA-PBE) results for a relaxed TaIn2P crystal.

Structure (POSCAR):
```
TaIn2P
1.0
1.538 0.888 9.925
-1.538 0.888 9.925
0.000 -1.776 9.925
Ta In P
1 2 1
direct
0.000 0.000 0.000 Ta
0.251 0.251 0.251 In
0.749 0.749 0.749 In
0.500 0.500 0.500 P
```

Output
Energy of formation from the pure elements in meV per atom: 465
Space-group type: R-3m, No. 166



[2]
DFT (GGA-PBE) results for a relaxed CeMg8Pd4 crystal.

Structure (POSCAR):
```
CeMg8Pd4
1.0
-4.735 4.735 2.830
4.735 -4.735 2.830
4.735 4.735 -2.830
Ce Mg Pd
1 8 4
direct
0.000 0.000 0.000 Ce
0.000 0.337 0.337 Mg
0.000 0.663 0.663 Mg
0.281 0.500 0.781 Mg
0.337 0.000 0.337 Mg
0.500 0.281 0.781 Mg
0.500 0.719 0.219 Mg
0.663 0.000 0.663 Mg
0.719 0.500 0.219 Mg
0.000 0.000 0.500 Pd
0.000 0.500 0.000 Pd
0.500 0.000 0.000 Pd
0.500 0.500 0.500 Pd
```

Output
Energy of formation from the pure elements in meV per atom: -459
Space-group type: I4/mmm, No. 139



[3]
DFT (GGA-PBE) results for a relaxed Sr2ScBr crystal.

Structure (POSCAR):
```
Sr2ScBr
1.0
-4.609 4.609 3.848
4.609 -4.609 3.848
4.609 4.609 -3.848
Sr Sc Br
4 2 2
direct
0.069 0.625 0.944 Sr
0.375 0.319 0.444 Sr
0.681 0.125 0.056 Sr
0.875 0.931 0.556 Sr
0.250 0.750 0.500 Sc
0.500 0.500 0.000 Sc
0.000 0.000 0.000 Br
0.750 0.250 0.500 Br
```

Output
ΔE to the lowest computed polymorph in eV/atom: 0.343
E_form (uncorrected) in eV per formula unit: -0.7
Space-group type: I-42d, No. 122



[4]
DFT (GGA-PBE) results for a relaxed AcLaZnIr crystal.

Structure (POSCAR):
```
AcLaZnIr
1.0
4.479 0.000 0.000
0.000 2.139 5.657
0.000 -2.139 5.657
Ac La Zn Ir
1 1 1 1
direct
0.000 0.000 0.000 Ac
0.500 0.723 0.723 La
0.500 0.420 0.420 Zn
0.000 0.287 0.287 Ir
```

Output
ΔE to the lowest computed polymorph in eV/atom: 0.000
Energy of formation from the pure elements in meV per atom: -479
Space-group type: Amm2, No. 38